A geometry-optimized KNaHf4P6O24 structure, computed with PBE-GGA.

a = 9.343 Å, b = 9.343 Å, c = 9.343 Å
α = 56.39°, β = 56.39°, γ = 56.39°
Atoms (fractional coordinates):
K 0.000 0.000 0.000
Na 0.500 0.500 0.500
Hf 0.353 0.353 0.353
Hf 0.852 0.852 0.852
Hf 0.647 0.647 0.647
Hf 0.148 0.148 0.148
P 0.536 0.960 0.252
P 0.252 0.536 0.960
P 0.960 0.252 0.536
P 0.748 0.464 0.040
P 0.040 0.748 0.464
P 0.464 0.040 0.748
O 0.507 0.125 0.278
O 0.278 0.507 0.125
O 0.125 0.278 0.507
O 0.765 0.634 0.009
O 0.009 0.765 0.634
O 0.634 0.009 0.765
O 0.493 0.875 0.722
O 0.722 0.493 0.875
O 0.875 0.722 0.493
O 0.235 0.366 0.991
O 0.991 0.235 0.366
O 0.366 0.991 0.235
O 0.706 0.937 0.076
O 0.076 0.706 0.937
O 0.937 0.076 0.706
O 0.581 0.429 0.217
O 0.217 0.581 0.429
O 0.429 0.217 0.581
O 0.294 0.063 0.924
O 0.924 0.294 0.063
O 0.063 0.924 0.294
O 0.419 0.571 0.783
O 0.783 0.419 0.571
O 0.571 0.783 0.419

## Properties
SG = R-3 (148)
E_form (uncorrected) = -2.79 eV/atom

***

A geometry-optimized ZnIn2Pd structure, computed with PBE-GGA.

a = 3.683 Å, b = 3.683 Å, c = 7.643 Å
α = 76.06°, β = 76.06°, γ = 60.00°
Atoms (fractional coordinates):
Zn 0.501 0.501 0.498
In 0.080 0.080 0.760
In 0.254 0.254 0.238
Pd 0.666 0.666 0.003

## Properties
SG = R3m (160)

***

A geometry-optimized PrLuIn2 structure, computed with PBE-GGA.

a = 4.472 Å, b = 4.953 Å, c = 4.953 Å
α = 90.00°, β = 90.00°, γ = 90.00°
Atoms (fractional coordinates):
Pr 0.500 0.000 0.000
Lu 0.500 0.500 0.500
In 0.000 0.000 0.500
In 0.000 0.500 0.000

## Properties
ΔE to the lowest computed polymorph = 13.1 meV per atom
SG = P4/mmm (123)

***

In the order shown, the computed DFT total energy values come out to -294.26 -12.26 -16.53 eV/cell.